Material: TiMoO3
Method: DFT, PBE with a Hubbard U
State: relaxed

Geometry as CIF:
```
data_TiMoO3
_chemical_formula_sum 'Ti1 Mo1 O3'
_space_group_name_H-M_alt 'P m -3 m'
_space_group_IT_number 221
_space_group_name_Hall '-P 4 2 3'
_cell_length_a 3.971
_cell_length_b 3.971
_cell_length_c 3.971
_cell_angle_alpha 90.00
_cell_angle_beta 90.00
_cell_angle_gamma 90.00
loop_
_atom_site_label
_atom_site_type_symbol
_atom_site_fract_x
_atom_site_fract_y
_atom_site_fract_z
_atom_site_occupancy
Ti1 Ti 0.000 0.000 0.000 1
Mo1 Mo 0.500 0.500 0.500 1
O1 O 0.000 0.500 0.500 1
```

Calculated values
* crystal system: cubic
* DOS(E_F): 3.04 states/eV/cell
* electronic total energy: -35.8 eV/cell